# 1
A geometry-optimized MgZrCd2 structure, computed with GGA-PBEsol.

The structure in extended XYZ format:
```
4
Lattice="1.540 0.889 10.189 -1.540 0.889 10.189 0.000 -1.778 10.189" Properties=species:S:1:pos:R:3 pbc="T T T"
Mg 0.000 0.000 0.000
Zr 0.000 0.000 15.283
Cd 0.000 0.000 7.689
Cd 0.000 0.000 22.877
```

## Properties
Energy of formation   -0.054 eV/atom

=====

# 2
A geometry-optimized InHgPb2 structure, computed with GGA-PBEsol.

The structure in extended XYZ format:
```
8
Lattice="-2.234 2.234 11.292 2.234 -2.234 11.292 2.234 2.234 -11.292" Properties=species:S:1:pos:R:3 pbc="T T T"
In 0.000 0.000 0.000
In 0.000 2.234 5.646
Hg 2.234 0.000 5.646
Hg 0.000 0.000 11.292
Pb 1.117 -1.104 8.469
Pb 1.130 1.117 2.823
Pb 1.117 3.338 -2.823
Pb 1.104 1.117 14.116
```

## Properties
Energy of formation   0.076 eV/atom
Offset from the most stable computed form   7.41 kJ/mol of atoms

=====

# 3
A geometry-optimized BaAlRh2 structure, computed with GGA-PBEsol.

The structure in extended XYZ format:
```
4
Lattice="-1.952 1.952 4.958 1.952 -1.952 4.958 1.952 1.952 -4.958" Properties=species:S:1:pos:R:3 pbc="T T T"
Ba 0.000 0.000 0.000
Al 1.952 0.000 2.479
Rh 0.000 0.000 4.958
Rh 0.000 1.952 2.479
```

## Properties
Energy of formation   0.198 eV/atom
Offset from the most stable computed form   18.90 kJ/mol of atoms

=====

# 4
A geometry-optimized BaMgIn2 structure, computed with GGA-PBEsol.

The structure in extended XYZ format:
```
4
Lattice="4.835 0.000 0.000 0.000 1.809 6.850 0.000 -1.809 6.850" Properties=species:S:1:pos:R:3 pbc="T T T"
Ba 0.000 0.000 0.000
Mg 2.417 0.000 9.376
In 0.000 0.000 3.462
In 2.417 0.000 5.177
```

## Properties
Energy of formation   -0.240 eV/atom

=====

# 5
A geometry-optimized SrTlAg2 structure, computed with GGA-PBEsol.

The structure in extended XYZ format:
```
4
Lattice="2.377 1.373 5.243 -2.377 1.373 5.243 0.000 -2.745 5.243" Properties=species:S:1:pos:R:3 pbc="T T T"
Sr 0.000 0.000 0.000
Tl 0.000 0.000 12.433
Ag 0.000 0.000 3.247
Ag 0.000 0.000 8.367
```

## Properties
Energy of formation   -0.183 eV/atom

=====

# 6
A geometry-optimized LiSbPb2 structure, computed with GGA-PBEsol.

The structure in extended XYZ format:
```
4
Lattice="4.086 0.000 0.000 0.000 4.086 0.000 0.000 0.000 6.410" Properties=species:S:1:pos:R:3 pbc="T T T"
Li 0.000 0.000 0.000
Sb 0.000 0.000 3.205
Pb 2.043 2.043 1.617
Pb 2.043 2.043 4.792
```

## Properties
Formation energy (no corrections)   -0.079 eV per atom

=====

# 7
A geometry-optimized Li4AlNi3O8 structure, computed with GGA-PBEsol.

The structure in extended XYZ format:
```
16
Lattice="1.420 0.820 18.726 -1.420 0.820 18.726 0.000 -1.640 18.726" Properties=species:S:1:pos:R:3 pbc="T T T"
Li 0.000 0.000 7.024
Li 0.000 0.000 21.077
Li 0.000 0.000 35.099
Li 0.000 0.000 49.153
Al 0.000 0.000 0.000
Ni 0.000 0.000 14.037
Ni 0.000 0.000 28.088
Ni 0.000 0.000 42.140
O 0.000 0.000 3.655
O 0.000 0.000 10.401
O 0.000 0.000 17.712
O 0.000 0.000 24.455
O 0.000 0.000 31.721
O 0.000 0.000 38.465
O 0.000 0.000 45.776
O 0.000 0.000 52.522
```

## Properties
Formation energy (no corrections)   -1.662 eV per atom

=====

# 8
A geometry-optimized LiCo2N2 structure, computed with GGA-PBEsol.

The structure in extended XYZ format:
```
5
Lattice="-1.776 1.776 3.591 1.776 -1.776 3.591 1.776 1.776 -3.591" Properties=species:S:1:pos:R:3 pbc="T T T"
Li 0.000 0.000 0.000
Co 0.000 0.000 2.413
Co 0.000 0.000 4.768
N 1.776 0.000 1.795
N 0.000 1.776 1.795
```

## Properties
Formation energy (no corrections)   0.081 eV per atom

=====

no.,size of the total moment (μB per formula unit)
1,0.00
2,0.00
3,0.00
4,0.00
5,0.00
6,0.00
7,3.00
8,0.00